UTlVO6: relaxed, GGA+U.

Lattice parameters (Å, degrees): 5.230 6.139 6.058 92.32 95.43 64.78
Fractional positions:
U 0.327 0.345 0.500
Tl 0.021 0.957 0.000
V 0.611 0.778 0.500
O 0.080 0.349 0.262
O 0.366 0.991 0.662
O 0.571 0.349 0.738
O 0.942 0.620 0.651
O 0.438 0.620 0.349
O 0.643 0.991 0.338

Properties
As for the crystal system: monoclinic. The calculation puts the total energy at -71.01 eV for the cell shown. As for the density of states at the Fermi level: 0.0000 states/eV per atom. The value obtained for the total moment is 0.00 μB/cell.